Entry from Alexandria: an optimized crystal structure of Sm2DyCo (PBE-GGA).

Calculated values
Polymorph energy (0 for the lowest one) (eV per atom): 0.000
DOS(E_F) (states/eV/cell): 19.5
Space-group type: Pnma, No. 62
Energy relative to the elements (eV/atom): -0.11
Raw total energy (eV per cell): -86.41
Total moment (μB/f.u.): 0.00

Cell lengths 7.025, 9.725, 6.248 Å; angles 90.00, 90.00, 90.00 degrees
Sites, in units of the cell vectors:
Sm1 0.175 0.069 0.176
Sm2 0.175 0.431 0.176
Sm3 0.325 0.569 0.676
Sm4 0.325 0.931 0.676
Sm5 0.675 0.069 0.324
Sm6 0.675 0.431 0.324
Sm7 0.825 0.569 0.824
Sm8 0.825 0.931 0.824
Dy1 0.043 0.250 0.651
Dy2 0.457 0.750 0.151
Dy3 0.543 0.250 0.849
Dy4 0.957 0.750 0.349
Co1 0.116 0.750 0.950
Co2 0.384 0.250 0.450
Co3 0.616 0.750 0.550
Co4 0.884 0.250 0.050